DFT (PBE with a Hubbard U) results for an optimized crystal structure of KSmMoO4.

Output
- calculated density (Mg/m³) = 4.97
- E_tot (eV/atom) = -6.940
- calculated volume (Å³/f.u.) = 117

a = 6.6788 Å, b = 6.8806 Å, c = 7.3107 Å
α = 122.09°, β = 90.00°, γ = 119.03°
Each line ends with the local moment (μB).
Atoms (fractional coordinates):
O (0.3187, 0.0699, 0.2850)  0.00
O (0.7428, 0.4857, 0.3093)  0.02
O (0.2488, 0.9301, 0.7150)  0.00
O (0.7512, 0.0699, 0.2850)  0.00
O (0.7428, 0.4857, 0.6764)  0.02
O (0.2572, 0.5143, 0.6907)  0.02
O (0.6813, 0.9301, 0.7150)  0.00
O (0.2572, 0.5143, 0.3236)  0.02
Mo (0.5000, 0.5000, 0.5000)  1.89
Mo (0.0000, 0.5000, 0.5000)  1.89
Sm (0.5000, 0.0000, 0.0000)  0.01
Sm (0.5000, 0.0000, 0.5000)  0.01
K (0.8672, 0.7344, 0.1172)  0.00
K (0.1328, 0.2656, 0.8828)  0.00